Material: Mg3Pa3PtN8
Method: DFT, PBE-GGA
State: optimized geometry

The structure belongs to space group R-3m (No. 166, hexagonal axes); the cell edges are 6.7422, 6.7422 and 15.6286 Å and the angles 90.00°, 90.00° and 120.00°. The distinct sites, in fractional coordinates, are Mg at (0.0000, 0.5000, 0.0000), Pa at (0.0000, 0.5000, 0.5000), Pt at (0.0000, 0.0000, 0.5000), N at (0.0000, 0.0000, 0.2502) and N at (0.0106, 0.5053, 0.2435).

As for the density of states at the Fermi level: 14.46 states/eV per cell. Its electronic total energy is -7.94 eV per atom.